Below is a crystal of LaTaRu2 relaxed with PBEsol, with properties calculated at the meta-GGA SCAN level.

a = 3.819 Å, b = 3.819 Å, c = 5.680 Å
α = 109.65°, β = 109.65°, γ = 90.00°
Fractional coordinates of all 4 atoms:
La  0.250  0.750  0.500
Ru  0.000  0.000  0.000
Ru  0.750  0.250  0.500
Ta  0.500  0.500  0.000

Summary:
raw total energy = -44.49 eV per atom